[1]
A plane-wave DFT calculation with PBE was carried out for Sc2HgN after structural relaxation.

Offset from the most stable computed form ... 250 meV/atom
Total moment ... 0.00 μB/f.u.
Crystal system ... tetragonal
Calculated volume ... 156.7 Å³ per cell
E_tot ... -24.81 eV per formula unit
Symmetry ... I-42d
ρ ... 6.45 g/cm3

Cell: 6.366 6.366 5.935 Å, 57.56 57.56 90.00°
Fractional positions:
1 N 0.250 0.750 0.500
2 N 0.500 0.500 0.000
3 Sc 0.520 0.125 0.250
4 Sc 0.375 0.480 0.750
5 Sc 0.230 0.625 0.250
6 Sc 0.875 0.770 0.750
7 Hg 0.000 0.000 0.000
8 Hg 0.750 0.250 0.500

---

[2]
A plane-wave DFT calculation with PBE was carried out for Ti5FeCo6 after structural relaxation.

Total moment ... 1.82 μB/f.u.
Crystal system ... orthorhombic
Calculated volume ... 151.3 Å³ per cell
E_tot ... -94.72 eV per formula unit
Symmetry ... Immm
Formation energy from the elements ... -346 meV/atom
ρ ... 7.12 g/cm3

Cell: 3.995 6.429 7.001 Å, 117.33 106.58 90.00°
Fractional positions:
1 Co 0.167 0.899 0.333
2 Co 0.833 0.101 0.667
3 Co 0.500 0.285 0.000
4 Co 0.833 0.565 0.667
5 Co 0.167 0.435 0.333
6 Co 0.500 0.715 0.000
7 Fe 0.000 0.000 0.000
8 Ti 0.638 0.138 0.277
9 Ti 0.318 0.318 0.636
10 Ti 0.362 0.862 0.723
11 Ti 0.682 0.682 0.364
12 Ti 0.000 0.500 0.000

---

[3]
A plane-wave DFT calculation with PBE was carried out for KRbTcF6 after structural relaxation.

Total moment ... 3.00 μB/f.u.
Crystal system ... trigonal
Calculated volume ... 339.7 Å³ per cell
E_tot ... -46.55 eV per formula unit
Symmetry ... P-31c
ρ ... 3.29 g/cm3

Cell: 6.638 6.638 8.903 Å, 90.00 90.00 120.00°
Fractional positions:
1 Rb 0.667 0.333 0.750
2 Rb 0.333 0.667 0.250
3 F 0.093 0.678 0.874
4 F 0.093 0.415 0.626
5 F 0.585 0.907 0.874
6 F 0.678 0.585 0.126
7 F 0.322 0.907 0.626
8 F 0.322 0.415 0.874
9 F 0.678 0.093 0.374
10 F 0.907 0.322 0.126
11 F 0.415 0.093 0.126
12 F 0.415 0.322 0.374
13 F 0.585 0.678 0.626
14 F 0.907 0.585 0.374
15 K 0.000 0.000 0.000
16 K 0.000 0.000 0.500
17 Tc 0.333 0.667 0.750
18 Tc 0.667 0.333 0.250

---

[4]
A plane-wave DFT calculation with PBE was carried out for Th2TiN after structural relaxation.

Total moment ... 1.26 μB/f.u.
Crystal system ... trigonal
Calculated volume ... 91.7 Å³ per cell
E_tot ... -31.90 eV per formula unit
Symmetry ... R-3m
ρ ... 9.53 g/cm3

Cell: 3.409 3.409 9.316 Å, 79.46 79.46 60.00°
Fractional positions:
1 Ti 0.000 0.000 0.000
2 Th 0.110 0.110 0.671
3 Th 0.890 0.890 0.329
4 N 0.500 0.500 0.500

---

[5]
A plane-wave DFT calculation with PBE was carried out for La3PmY3 after structural relaxation.

Offset from the most stable computed form ... 4 meV/atom
Total moment ... 0.00 μB/f.u.
Crystal system ... cubic
Calculated volume ... 988.1 Å³ per cell
E_tot ... -37.30 eV per formula unit
Symmetry ... I-43m
Formation energy from the elements ... 232 meV/atom
ρ ... 5.57 g/cm3

Cell: 10.868 10.868 10.868 Å, 109.47 109.47 109.47°
Fractional positions:
1 Y 0.576 0.303 0.000
2 Y 0.303 0.576 0.000
3 Y 0.000 0.303 0.576
4 Y 0.697 0.273 0.697
5 Y 0.424 0.424 0.727
6 Y 0.697 0.697 0.273
7 Y 0.000 0.576 0.303
8 Y 0.303 0.000 0.576
9 Y 0.576 0.000 0.303
10 Y 0.727 0.424 0.424
11 Y 0.273 0.697 0.697
12 Y 0.424 0.727 0.424
13 Pm 0.000 0.277 0.000
14 Pm 0.000 0.000 0.277
15 Pm 0.277 0.000 0.000
16 Pm 0.723 0.723 0.723
17 La 0.803 0.612 0.000
18 La 0.612 0.803 0.000
19 La 0.000 0.612 0.803
20 La 0.808 0.197 0.197
21 La 0.388 0.388 0.192
22 La 0.612 0.000 0.803
23 La 0.803 0.000 0.612
24 La 0.388 0.192 0.388
25 La 0.192 0.388 0.388
26 La 0.197 0.808 0.197
27 La 0.197 0.197 0.808
28 La 0.000 0.803 0.612

---

[6]
A plane-wave DFT calculation with PBE was carried out for PbAu3C after structural relaxation.

Offset from the most stable computed form ... 1362 meV/atom
Total moment ... 1.70 μB/f.u.
Crystal system ... cubic
Calculated volume ... 155.6 Å³ per cell
E_tot ... -12.62 eV per formula unit
Symmetry ... Pm-3m
Formation energy from the elements ... 2028 meV/atom
ρ ... 8.64 g/cm3

Cell: 5.379 5.379 5.379 Å, 90.00 90.00 90.00°
Fractional positions:
1 Au 0.500 0.000 0.000
2 Au 0.000 0.500 0.000
3 Au 0.000 0.000 0.500
4 Pb 0.000 0.000 0.000
5 C 0.500 0.500 0.500